1.
Entry from Alexandria: crystalline ZrCr2Fe at its relaxed geometry (GGA-PBE).

The structure belongs to space group Cmm2 (No. 35); the cell edges are 3.056, 4.423 and 8.292 Å and the angles 90.00°, 90.00° and 90.00°. Symmetry generates all atoms from Zr at (0.000, 0.000, 0.000), Cr at (0.000, 0.000, 0.498), Cr at (0.000, 0.500, 0.285) and Fe at (0.000, 0.500, 0.720).

The calculation puts the calculated formation energy at 27 kJ/mol of atoms. The value obtained for the total magnetic moment is 0.428 μB/atom. The polymorph energy (0 for the lowest one) is 145 meV/atom.

***

2.
Entry from Alexandria: crystalline NaAsCl5 at its relaxed geometry (GGA-PBE).

The structure belongs to space group C2/c (No. 15); the cell edges are 11.038, 7.889 and 9.905 Å and the angles 90.00°, 114.55° and 90.00°. Symmetry generates all atoms from Na at (0.000, 0.077, 0.250), As at (0.000, 0.500, 0.000), Cl at (0.000, 0.453, 0.250), Cl at (0.039, 0.203, 0.540) and Cl at (0.229, 0.445, 0.102).

The value obtained for the total magnetic moment is 0.000 μB/atom. Its uncorrected formation energy is -75 kJ per mole of atoms. The polymorph energy (0 for the lowest one) is 48 meV/atom.

***

3.
Entry from Alexandria: crystalline LiAu at its relaxed geometry (GGA-PBE).

The structure belongs to space group Cm (No. 8); the cell edges are 10.010, 2.861 and 7.030 Å and the angles 90.00°, 108.11° and 90.00°. Symmetry generates all atoms from Li at (0.000, 0.000, 0.000), Li at (0.066, 0.000, 0.620), Li at (0.352, 0.000, 0.283), Au at (0.128, 0.500, 0.331), Au at (0.219, 0.500, 0.948) and Au at (0.349, 0.000, 0.669).

The calculation puts the calculated formation energy at -47 kJ/mol of atoms. The value obtained for the total magnetic moment is 0.000 μB/atom.

***

4.
Entry from Alexandria: crystalline LiPuGaO6 at its relaxed geometry (GGA-PBE).

The structure belongs to space group P312 (No. 149); the cell edges are 5.2366, 5.2366 and 4.7100 Å and the angles 90.00°, 90.00° and 120.00°. Symmetry generates all atoms from Li at (0.0000, 0.0000, 0.0000), Pu at (0.3333, 0.6667, 0.5000), Ga at (0.6667, 0.3333, 0.5000) and O at (0.0030, 0.3566, 0.7257).

The value obtained for the total magnetic moment is 0.000 μB/atom. Its uncorrected formation energy is -174 kJ per mole of atoms.

***

5.
Entry from Alexandria: crystalline LaY8Tm6 at its relaxed geometry (GGA-PBE).

The structure belongs to space group P-3 (No. 147); the cell edges are 9.4203, 9.4203 and 6.5116 Å and the angles 90.00°, 90.00° and 120.00°. Symmetry generates all atoms from La at (0.0000, 0.0000, 0.0000), Y at (0.0286, 0.6872, 0.4043), Y at (0.3333, 0.6667, 0.6794) and Tm at (0.0937, 0.4156, 0.0914).

The calculation puts the calculated formation energy at 23 kJ/mol of atoms. The value obtained for the total magnetic moment is 0.000 μB/atom.

***

6.
Entry from Alexandria: crystalline CdTeIr at its relaxed geometry (GGA-PBE).

The structure belongs to space group Pmm2 (No. 25); the cell edges are 3.162, 4.576 and 4.762 Å and the angles 90.00°, 90.00° and 90.00°. Symmetry generates all atoms from Cd at (0.000, 0.000, 0.000), Te at (0.000, 0.500, 0.447) and Ir at (0.500, 0.000, 0.515).

The value obtained for the total magnetic moment is 0.000 μB/atom. Its uncorrected formation energy is 20 kJ per mole of atoms. The polymorph energy (0 for the lowest one) is 150 meV/atom.

***

7.
Entry from Alexandria: crystalline PdSe2F at its relaxed geometry (GGA-PBE).

The structure belongs to space group R-3m (No. 166, hexagonal axes); the cell edges are 3.8811, 3.8811 and 20.4373 Å and the angles 90.00°, 90.00° and 120.00°. Symmetry generates all atoms from Pd at (0.0000, 0.0000, 0.0000), Se at (0.0000, 0.0000, 0.3929) and F at (0.0000, 0.0000, 0.5000).

The value obtained for the total magnetic moment is 0.000 μB/atom. Its uncorrected formation energy is -53 kJ per mole of atoms. The polymorph energy (0 for the lowest one) is 0 meV/atom.

***

8.
Entry from Alexandria: crystalline BeIrS2 at its relaxed geometry (GGA-PBE).

The structure belongs to space group I-42d (No. 122); the cell edges are 5.082, 5.082 and 10.053 Å and the angles 90.00°, 90.00° and 90.00°. Symmetry generates all atoms from Be at (0.000, 0.000, 0.000), Ir at (0.000, 0.000, 0.500) and S at (0.216, 0.250, 0.125).

The value obtained for the total magnetic moment is 0.000 μB/atom. Its uncorrected formation energy is -31 kJ per mole of atoms.

***

9.
Entry from Alexandria: crystalline Mn2CuNi4 at its relaxed geometry (GGA-PBE).

The structure belongs to space group Immm (No. 71); the cell edges are 2.572, 3.945 and 16.604 Å and the angles 90.00°, 90.00° and 90.00°. Symmetry generates all atoms from Mn at (0.000, 0.000, 0.087), Cu at (0.000, 0.000, 0.500), Ni at (0.000, 0.000, 0.356) and Ni at (0.000, 0.500, 0.272).

The calculation puts the calculated formation energy at 7 kJ/mol of atoms. The value obtained for the total magnetic moment is 1.330 μB/atom.

***

10.
Entry from Alexandria: crystalline SrPF at its relaxed geometry (GGA-PBE).

The structure belongs to space group Imm2 (No. 44); the cell edges are 3.850, 15.261 and 4.281 Å and the angles 90.00°, 90.00° and 90.00°. Symmetry generates all atoms from Sr at (0.000, 0.154, 0.000), P at (0.000, 0.000, 0.502), P at (0.000, 0.500, 0.676) and F at (0.000, 0.243, 0.500).

The value obtained for the total magnetic moment is 0.000 μB/atom. Its uncorrected formation energy is -217 kJ per mole of atoms. The polymorph energy (0 for the lowest one) is 83 meV/atom.

***

11.
Entry from Alexandria: crystalline PmMg4Cu2 at its relaxed geometry (GGA-PBE).

The structure belongs to space group Cmmm (No. 65); the cell edges are 4.273, 16.243 and 4.257 Å and the angles 90.00°, 90.00° and 90.00°. Symmetry generates all atoms from Pm at (0.000, 0.000, 0.000), Mg at (0.000, 0.176, 0.500), Mg at (0.000, 0.324, 0.000) and Cu at (0.000, 0.426, 0.500).

The calculation puts the calculated formation energy at -11 kJ/mol of atoms. The value obtained for the total magnetic moment is 0.000 μB/atom. The polymorph energy (0 for the lowest one) is 3 meV/atom.

***

12.
Entry from Alexandria: crystalline Na3Hg2Bi4Pb2 at its relaxed geometry (GGA-PBE).

The structure belongs to space group P-3m1 (No. 164); the cell edges are 4.9778, 4.9778 and 16.7711 Å and the angles 90.00°, 90.00° and 120.00°. Symmetry generates all atoms from Na at (0.0000, 0.0000, 0.0000), Na at (0.0000, 0.0000, 0.2446), Hg at (0.3333, 0.6667, 0.1583), Bi at (0.3333, 0.6667, 0.3533), Bi at (0.3333, 0.6667, 0.8943) and Pb at (0.3333, 0.6667, 0.5648).

The calculation puts the calculated formation energy at -12 kJ/mol of atoms. The value obtained for the total magnetic moment is 0.000 μB/atom.

***

The records above give, respectively, density of states at the Fermi level values of 3.621; 3.481; 0.435; 0.034; 22.594; 2.489; 1.172; 1.916; 6.700; 0.553; 3.695; 4.166 states/eV/f.u..
The records above give, respectively, density values of 7.44; 2.33; 10.62; 6.19; 6.18; 10.42; 5.29; 6.79; 8.05; 3.63; 4.15; 7.94 g/cm3.
The records above give, respectively, calculated total energy values of -8.788; -2.954; -3.082; -7.250; -5.330; -4.096; -4.054; -5.529; -6.431; -5.238; -2.869; -2.628 eV per atom.